Computed, not measured: TbCe2PrSb5 after structural relaxation at the PBE level of DFT.

The raw formation energy comes out at -0.297 eV/atom. The total DFT energy (no corrections) is -44.6 eV/f.u.

The space group is P4/mmm (No. 123) and the conventional cell measures 5.3168, 5.3168 and 11.7899 Å, with angles of 90.00, 90.00 and 90.00 degrees. The distinct sites, in fractional coordinates, are Tb at (0.0000, 0.0000, 0.0000), Ce at (0.5000, 0.5000, 0.2142), Pr at (0.0000, 0.0000, 0.5000), Sb at (0.0000, 0.0000, 0.2485), Sb at (0.0000, 0.5000, 0.0000) and Sb at (0.5000, 0.5000, 0.5000).

---

Computed, not measured: Tb2CePrSb4 after structural relaxation at the PBE level of DFT.

The raw formation energy comes out at -1.133 eV/atom. The total DFT energy (no corrections) is -45.5 eV/f.u.

The space group is P2/m (No. 10) and the conventional cell measures 7.7277, 4.4649 and 7.7385 Å, with angles of 90.00, 109.41 and 90.00 degrees. The distinct sites, in fractional coordinates, are Tb at (0.0000, 0.0000, 0.0000), Tb at (0.0000, 0.5000, 0.5000), Ce at (0.5000, 0.0000, 0.5000), Pr at (0.5000, 0.5000, 0.0000), Sb at (0.2422, 0.0000, 0.7445) and Sb at (0.2435, 0.5000, 0.2501).

---

Computed, not measured: TbCePr2Sb4 after structural relaxation at the PBE level of DFT.

The raw formation energy comes out at -1.144 eV/atom. The total DFT energy (no corrections) is -45.8 eV/f.u.

The space group is P2/m (No. 10) and the conventional cell measures 7.7941, 4.5010 and 7.8024 Å, with angles of 90.00, 109.37 and 90.00 degrees. The distinct sites, in fractional coordinates, are Tb at (0.0000, 0.0000, 0.0000), Ce at (0.5000, 0.5000, 0.0000), Pr at (0.0000, 0.5000, 0.5000), Pr at (0.5000, 0.0000, 0.5000), Sb at (0.2456, 0.5000, 0.2411) and Sb at (0.2505, 0.0000, 0.7572).

---

Computed, not measured: CePrSbTe after structural relaxation at the PBE level of DFT.

The raw formation energy comes out at -1.096 eV/atom. The total DFT energy (no corrections) is -22.4 eV/f.u. For the offset from the most stable computed form, the calculation gives 0.1990 eV per atom.

The space group is F-43m (No. 216) and the conventional cell measures 7.7812, 7.7812 and 7.7812 Å, with angles of 90.00, 90.00 and 90.00 degrees. The distinct sites, in fractional coordinates, are Ce at (0.0000, 0.0000, 0.0000), Pr at (0.0000, 0.0000, 0.5000), Sb at (0.2500, 0.2500, 0.2500) and Te at (0.2500, 0.2500, 0.7500).